(1)
This record from the Alexandria database describes V7Zn2C2 after structural relaxation. The functional is PBE.

Results
E_tot: -168.9 eV per cell
spin magnetization: 0.0000 μB per atom
E_form: 0.04 eV per atom

a b c (Å): 6.4033 8.3252 5.2360
angles (deg): 90.00 90.00 90.00
Closest atoms and distances in Å follow each position.
Space group Cmmm (No. 65)
Asymmetric unit:
V (0.0000, 0.0000, 0.0000)  2 C 2.28
V (0.0000, 0.5000, 0.2333)  2 C 2.25, 1 V 2.44, 2 Zn 2.50
V (0.2500, 0.2500, 0.2387)  2 C 2.04
Zn (0.1760, 0.0000, 0.5000)  1 Zn 2.25, 2 V 2.50
C (0.0000, 0.2737, 0.0000)  7 V 2.04-2.28

(2)
This record from the Alexandria database describes V3ZnC after structural relaxation. The functional is PBE.

Results
E_tot: -38.7 eV per cell
spin magnetization: 0.0002 μB per atom
E_form: -0.18 eV per atom

a b c (Å): 3.9754 3.9754 3.9754
angles (deg): 90.00 90.00 90.00
Closest atoms and distances in Å follow each position.
Space group Pm-3m (No. 221)
Asymmetric unit:
V (0.0000, 0.0000, 0.5000)  2 C 1.99
Zn (0.5000, 0.5000, 0.5000)  12 V 2.81
C (0.0000, 0.0000, 0.0000)  6 V 1.99

(3)
This record from the Alexandria database describes V3Zn2C after structural relaxation. The functional is PBE.

Results
E_tot: -162.6 eV per cell
spin magnetization: 0.0000 μB per atom
E_form: -0.26 eV per atom

a b c (Å): 6.6363 6.6363 6.6363
angles (deg): 90.00 90.00 90.00
Closest atoms and distances in Å follow each position.
Space group P4_132 (No. 213)
Asymmetric unit:
V (0.0386, 0.1250, 0.7886)  2 C 2.06
Zn (0.0714, 0.9286, 0.4286)  3 Zn 2.45, 3 V 2.73
C (0.1250, 0.3750, 0.6250)  6 V 2.06

(4)
This record from the Alexandria database describes V3Zn3C after structural relaxation. The functional is PBE.

Results
E_tot: -671.8 eV per cell
spin magnetization: 0.0000 μB per atom
E_form: -0.23 eV per atom

a b c (Å): 11.2027 11.2027 11.2027
angles (deg): 90.00 90.00 90.00
Closest atoms and distances in Å follow each position.
Space group Fd-3m (No. 227, origin choice 2)
Asymmetric unit:
V (0.0503, 0.3750, 0.3750)  2 C 2.06
Zn (0.0000, 0.0000, 0.5000)  6 Zn 2.44
Zn (0.0389, 0.0389, 0.7111)  6 Zn 2.44-2.73, 3 V 2.60
C (0.0000, 0.0000, 0.0000)  6 V 2.06

(5)
This record from the Alexandria database describes V4ZnC after structural relaxation. The functional is PBE.

Results
E_tot: -89.7 eV per cell
spin magnetization: 0.0002 μB per atom
E_form: 0.36 eV per atom

a b c (Å): 7.4131 7.8839 2.9576
angles (deg): 90.00 90.00 90.00
Closest atoms and distances in Å follow each position.
Space group Cmmm (No. 65)
Asymmetric unit:
V (0.0000, 0.2500, 0.0000)  1 C 1.97
V (0.1767, 0.0000, 0.5000)  2 C 1.98
Zn (0.0000, 0.5000, 0.5000)  6 V 2.40-2.46
C (0.0000, 0.0000, 0.0000)  6 V 1.97-1.98

(6)
This record from the Alexandria database describes VZnC2 after structural relaxation. The functional is PBE.

Results
E_tot: -103.0 eV per cell
spin magnetization: 0.0000 μB per atom
E_form: 0.77 eV per atom

a b c (Å): 4.7389 4.7389 8.7974
angles (deg): 90.00 90.00 90.00
Closest atoms and distances in Å follow each position.
Space group I-42d (No. 122)
Asymmetric unit:
V (0.0000, 0.0000, 0.0000)  4 C 1.92
Zn (0.0000, 0.0000, 0.5000)  4 C 2.10
C (0.2181, 0.2500, 0.1250)  2 V 1.92, 2 Zn 2.10

(7)
This record from the Alexandria database describes V5ZnC after structural relaxation. The functional is PBE.

Results
E_tot: -226.2 eV per cell
spin magnetization: 0.0000 μB per atom
E_form: -0.06 eV per atom

a b c (Å): 9.0401 5.2697 8.5109
angles (deg): 90.00 118.04 90.00
Closest atoms and distances in Å follow each position.
Space group C2/c (No. 15)
Asymmetric unit:
V (0.0000, 0.0011, 0.2500)  2 C 2.13
V (0.1833, 0.2520, 0.0910)  1 C 1.98
V (0.1857, 0.2456, 0.5933)  1 C 1.97
Zn (0.0000, 0.4988, 0.7500)  14 V 2.63-2.93
C (0.0000, 0.0000, 0.0000)  6 V 1.97-2.13

(8)
This record from the Alexandria database describes V3ZnC after structural relaxation. The functional is PBE.

Results
E_tot: -156.7 eV per cell
spin magnetization: 0.0000 μB per atom
E_form: -0.26 eV per atom

a b c (Å): 2.9112 10.2647 8.1729
angles (deg): 90.00 90.00 90.00
Closest atoms and distances in Å follow each position.
Space group Cmcm (No. 63)
Asymmetric unit:
V (0.0000, 0.0340, 0.2500)  2 C 2.07
V (0.0000, 0.3708, 0.0306)  2 C 1.99
Zn (0.0000, 0.2502, 0.7500)  9 V 2.61-2.92, 2 Zn 2.91
C (0.0000, 0.0000, 0.0000)  6 V 1.99-2.07

(9)
This record from the Alexandria database describes Zr2V2C3 after structural relaxation. The functional is PBE.

Results
E_tot: -135.4 eV per cell
spin magnetization: 0.0000 μB per atom
E_form: -0.67 eV per atom

a b c (Å): 10.9423 3.1887 5.3301
angles (deg): 90.00 108.75 90.00
Closest atoms and distances in Å follow each position.
Space group C2/m (No. 12)
Asymmetric unit:
Zr (0.1120, 0.0000, 0.3389)  5 C 2.29-2.36
V (0.1519, 0.5000, 0.8392)  4 C 2.02-2.05
C (0.0000, 0.5000, 0.5000)  2 V 2.02
C (0.2475, 0.5000, 0.2359)  3 V 2.04-2.05

(10)
This record from the Alexandria database describes ZrV2C2 after structural relaxation. The functional is PBE.

Results
E_tot: -91.6 eV per cell
spin magnetization: 0.0000 μB per atom
E_form: -0.11 eV per atom

a b c (Å): 3.8834 3.8834 7.7960
angles (deg): 90.00 90.00 90.00
Closest atoms and distances in Å follow each position.
Space group I4/mmm (No. 139)
Asymmetric unit:
Zr (0.0000, 0.0000, 0.0000)  2 V 2.59, 8 C 2.75
V (0.0000, 0.0000, 0.3321)  4 C 2.04
C (0.0000, 0.5000, 0.2500)  4 V 2.04

(11)
This record from the Alexandria database describes ZrVC2 after structural relaxation. The functional is PBE.

Results
E_tot: -114.4 eV per cell
spin magnetization: 0.0000 μB per atom
E_form: -0.51 eV per atom

a b c (Å): 3.1497 3.1497 15.3905
angles (deg): 90.00 90.00 120.00
Closest atoms and distances in Å follow each position.
Space group R-3m (No. 166, hexagonal axes)
Asymmetric unit:
Zr (0.0000, 0.0000, 0.0000)  6 C 2.31
V (0.0000, 0.0000, 0.5000)  6 C 2.15
C (0.0000, 0.0000, 0.2409)  3 V 2.15, 3 Zr 2.31

(12)
This record from the Alexandria database describes ZrVC after structural relaxation. The functional is PBE.

Results
E_tot: -27.9 eV per cell
spin magnetization: 0.1902 μB per atom
E_form: -0.35 eV per atom

a b c (Å): 3.1228 3.1228 4.9933
angles (deg): 90.00 90.00 120.00
Closest atoms and distances in Å follow each position.
Space group P3m1 (No. 156)
Asymmetric unit:
Zr (0.0000, 0.0000, 0.0000)  3 C 2.31
V (0.3333, 0.6667, 0.5113)  3 C 2.06
C (0.6667, 0.3333, 0.7122)  3 V 2.06, 3 Zr 2.31

> Among the records above, which one has the highest E_form?

VZnC2